Entry 1:
The following is a DFT calculation (GGA-PBE) of an optimized crystal structure of K3Y3TiSe8.

Cell: 8.1686 8.1686 23.5533 Å, 90.00 90.00 120.00°
Space group R-3m (No. 166, hexagonal axes)
Inequivalent atoms, fractional coordinates:
K 0.0000 0.5000 0.0000
Y 0.0000 0.5000 0.5000
Ti 0.0000 0.0000 0.5000
Se 0.0000 0.0000 0.2356
Se 0.0259 0.5130 0.2307

- Electronic total energy: -247.7 eV per cell
- Total magnetic moment: 0.0 μB per cell
- Raw formation energy: -24.1 eV per formula unit

=====

Entry 2:
The following is a DFT calculation (GGA-PBE) of an optimized crystal structure of K3Y2TiSe6.

Cell: 7.113 12.326 8.021 Å, 90.00 107.27 90.00°
Space group C2/m (No. 12)
Inequivalent atoms, fractional coordinates:
K 0.000 0.000 0.000
K 0.000 0.329 0.000
Y 0.000 0.166 0.500
Ti 0.000 0.500 0.500
Se 0.224 0.343 0.700
Se 0.247 0.500 0.299

- Electronic total energy: -127.1 eV per cell
- Total magnetic moment: 2.0 μB per cell
- Raw formation energy: -18.5 eV per formula unit

=====

Entry 3:
The following is a DFT calculation (GGA-PBE) of an optimized crystal structure of K2YTiSe4.

Cell: 7.012 4.033 8.007 Å, 90.00 106.90 90.00°
Space group P2/m (No. 10)
Inequivalent atoms, fractional coordinates:
K 0.000 0.000 0.000
K 0.500 0.500 0.000
Y 0.000 0.500 0.500
Ti 0.500 0.000 0.500
Se 0.252 0.000 0.702
Se 0.287 0.500 0.307

- Electronic total energy: -42.0 eV per cell
- Total magnetic moment: 1.0 μB per cell
- Raw formation energy: -11.5 eV per formula unit